# 1
ZrFeCo2 | PBE-GGA | optimized geometry

Cell and atoms, written as POSCAR:
```
ZrFeCo2
1.0
2.4509 1.4150 7.8273
-2.4509 1.4150 7.8273
0.0000 -2.8301 7.8273
Zr Fe Co
3 3 6
Cartesian
0.0000 0.0000 0.0000 Zr
0.0000 0.0000 3.2672 Zr
0.0000 0.0000 20.2148 Zr
0.0000 0.0000 7.8601 Fe
0.0000 0.0000 11.7410 Fe
0.0000 0.0000 15.6219 Fe
-1.2446 -0.7186 9.7963 Co
0.0000 -1.4372 13.6857 Co
-1.2446 0.7186 13.6857 Co
1.2446 -0.7186 9.7963 Co
0.0000 1.4372 9.7963 Co
1.2446 0.7186 13.6857 Co
```

The calculation puts the formation energy at -0.257 eV/atom. The value obtained for the calculated total energy is -96.8 eV for the cell shown. The calculation puts the spin magnetization at 11.37 μB per cell.

# 2
ZrFe2Co2 | PBE-GGA | optimized geometry

Cell and atoms, written as POSCAR:
```
ZrFe2Co2
1.0
6.9725 0.0000 0.0000
0.0000 6.9725 0.0000
0.0000 0.0000 2.7264
Zr Fe Co
2 4 4
Cartesian
0.0000 0.0000 0.0000 Zr
3.4863 3.4863 0.0000 Zr
1.0097 2.4766 0.0000 Fe
2.4766 5.9629 0.0000 Fe
4.4960 1.0097 0.0000 Fe
5.9629 4.4960 0.0000 Fe
1.0255 4.5118 1.3632 Co
2.4608 1.0255 1.3632 Co
4.5118 5.9470 1.3632 Co
5.9470 2.4608 1.3632 Co
```

The calculation puts the formation energy at 0.007 eV/atom. The value obtained for the calculated total energy is -79.3 eV for the cell shown. The calculation puts the spin magnetization at 13.75 μB per cell. For the offset from the most stable computed form, the calculation gives 0.048 eV per atom.